1.
Density functional theory data (PBE) for CrSBr3 after structural relaxation.

**V**: 27.9 A^3/atom
**VASP energy**: -3.298 eV per atom
**Energy above the lowest structure with this stoichiometry**: 0.0000 eV/atom
**Energy relative to the elements, uncorrected**: 0.46 eV per atom
**Fermi-level density of states**: 7.870 states/eV/cell
**Magnetization**: 4.79 μB per formula unit

```
5
Lattice="5.1848 0.0000 0.0000 0.0000 5.1848 0.0000 0.0000 0.0000 5.1848" Properties=species:S:1:pos:R:3 pbc="T T T"
Br 0.0000 2.5924 0.0000
Br 2.5924 0.0000 0.0000
Br 0.0000 0.0000 2.5924
S 0.0000 0.0000 0.0000
Cr 2.5924 2.5924 2.5924
```

---

2.
Density functional theory data (PBE) for CrS2Br after structural relaxation.

**V**: 20.8 A^3/atom
**VASP energy**: -5.274 eV per atom
**Energy above the lowest structure with this stoichiometry**: 0.0000 eV/atom
**Energy relative to the elements, uncorrected**: -0.39 eV per atom
**Fermi-level density of states**: 0.005 states/eV/cell
**Magnetization**: 3.00 μB per formula unit

```
4
Lattice="-3.6393 -6.3513 -1.9959 -1.9410 -7.2551 1.0779 -5.1026 -5.4840 1.2065" Properties=species:S:1:pos:R:3 pbc="T T T"
S -1.1978 -2.1404 0.0324
S -9.4851 -16.9500 0.2562
Br 0.0000 0.0000 0.0000
Cr -5.3414 -9.5452 0.1443
```

---

3.
Density functional theory data (PBE) for CrS2Br after structural relaxation.

**V**: 17.4 A^3/atom
**VASP energy**: -4.214 eV per atom
**Energy above the lowest structure with this stoichiometry**: 1.0596 eV/atom
**Energy relative to the elements, uncorrected**: 0.67 eV per atom
**Fermi-level density of states**: 2.959 states/eV/cell
**Magnetization**: 2.14 μB per formula unit

```
4
Lattice="1.9480 -2.8671 3.0513 -1.7347 -0.3590 4.2647 -2.2016 -3.8521 1.2805" Properties=species:S:1:pos:R:3 pbc="T T T"
S -0.4971 -1.7695 2.1491
S -1.4912 -5.3086 6.4473
Cr 0.0000 0.0000 0.0000
Br -0.9941 -3.5391 4.2982
```

---

4.
Density functional theory data (PBE) for CrS8Br2 after structural relaxation.

**V**: 30.2 A^3/atom
**VASP energy**: -4.089 eV per atom
**Energy relative to the elements, uncorrected**: 0.09 eV per atom
**Fermi-level density of states**: 3.370 states/eV/cell
**Magnetization**: 2.28 μB per formula unit

```
11
Lattice="-1.1232 5.2500 -10.2883 -3.4164 0.6789 7.3358 2.4438 2.1415 7.4424" Properties=species:S:1:pos:R:3 pbc="T T T"
S -2.1166 1.6261 9.1204
S -1.0819 4.6474 -4.2873
S -0.6852 2.3467 5.4732
S 0.0207 6.4443 -4.6304
S 0.7911 2.3519 9.1732
S -1.0140 3.4231 8.7773
S -2.8870 5.7186 -4.6832
S -1.4107 5.7237 -0.9832
Br -1.6132 6.0399 5.8167
Br -0.4827 2.0305 -1.3268
Cr 0.0000 0.0000 0.0000
```

---

5.
Density functional theory data (PBE) for CrSbSBr2 after structural relaxation.

**V**: 27.9 A^3/atom
**VASP energy**: -3.705 eV per atom
**Energy relative to the elements, uncorrected**: 0.54 eV per atom
**Fermi-level density of states**: 4.708 states/eV/cell
**Magnetization**: 2.82 μB per formula unit

```
5
Lattice="5.5713 0.0000 0.0000 0.0000 4.4939 0.0000 0.0000 0.0000 5.5713" Properties=species:S:1:pos:R:3 pbc="T T T"
Br 0.0000 0.0000 2.7856
Br 2.7856 0.0000 0.0000
Sb 2.7856 2.2469 2.7856
S 0.0000 0.0000 0.0000
Cr 0.0000 2.2469 0.0000
```

---

6.
Density functional theory data (PBE) for Cr2SbSBr after structural relaxation.

**V**: 24.7 A^3/atom
**VASP energy**: -4.859 eV per atom
**Energy relative to the elements, uncorrected**: 0.97 eV per atom
**Fermi-level density of states**: 3.082 states/eV/cell
**Magnetization**: 8.69 μB per formula unit

```
5
Lattice="-4.5364 -0.5089 1.9503 1.9730 0.0675 4.6068 -0.4941 4.9374 0.1392" Properties=species:S:1:pos:R:3 pbc="T T T"
Cr -2.2682 -0.2545 0.9752
Cr -0.2470 2.4687 0.0696
Br 0.0000 0.0000 0.0000
S 0.9865 0.0338 2.3034
Sb -1.5287 2.2480 3.3482
```

---

7.
Density functional theory data (PBE) for CrSe2SBr after structural relaxation.

**V**: 21.4 A^3/atom
**VASP energy**: -3.986 eV per atom
**Energy above the lowest structure with this stoichiometry**: 0.0000 eV/atom
**Energy relative to the elements, uncorrected**: 0.49 eV per atom
**Fermi-level density of states**: 5.400 states/eV/cell
**Magnetization**: 0.00 μB per formula unit

```
5
Lattice="-2.2918 0.8380 4.0125 -3.1662 -3.2816 -1.1231 2.6837 -3.3536 2.2333" Properties=species:S:1:pos:R:3 pbc="T T T"
Br 1.3419 -1.6768 1.1167
Se -1.5831 -1.6408 -0.5615
Se -1.1459 0.4190 2.0062
S -1.3872 -2.8986 2.5614
Cr 0.0000 0.0000 0.0000
```

---

8.
Density functional theory data (PBE) for CrSe2SBr after structural relaxation.

**V**: 24.1 A^3/atom
**VASP energy**: -3.852 eV per atom
**Energy above the lowest structure with this stoichiometry**: 0.1336 eV/atom
**Energy relative to the elements, uncorrected**: 0.63 eV per atom
**Fermi-level density of states**: 4.678 states/eV/cell
**Magnetization**: 4.33 μB per formula unit

```
5
Lattice="-2.5727 3.7123 2.0015 -0.5388 -2.6146 4.1569 4.1816 1.9459 1.7659" Properties=species:S:1:pos:R:3 pbc="T T T"
Se -0.2694 -1.3073 2.0784
Se -1.2864 1.8561 1.0007
S 0.0000 0.0000 0.0000
Cr 0.5350 1.5218 3.9621
Br 2.0908 0.9729 0.8830
```

---

9.
Density functional theory data (PBE) for Th2CrS2Br4 after structural relaxation.

**V**: 28.6 A^3/atom
**VASP energy**: -5.381 eV per atom
**Energy relative to the elements, uncorrected**: -1.00 eV per atom
**Fermi-level density of states**: 5.273 states/eV/cell
**Magnetization**: 2.14 μB per formula unit

```
9
Lattice="3.6384 0.0000 0.0000 -1.8192 3.1510 0.0000 0.0000 0.0000 22.4266" Properties=species:S:1:pos:R:3 pbc="T T T"
Br 1.8192 1.0503 20.2704
Br 0.0000 0.0000 16.3545
Br 0.0000 0.0000 11.9970
Br 1.8192 1.0503 2.2059
Th 1.8192 1.0503 14.1639
Th 0.0000 0.0000 0.0349
S 1.8192 1.0503 8.6421
S 1.8192 1.0503 5.9757
Cr 0.0000 0.0000 7.3070
```

---

10.
Density functional theory data (PBE) for TlCrSBr2 after structural relaxation.

**V**: 26.4 A^3/atom
**VASP energy**: -4.421 eV per atom
**Energy relative to the elements, uncorrected**: -0.53 eV per atom
**Fermi-level density of states**: 1.624 states/eV/cell
**Magnetization**: 3.00 μB per formula unit

```
5
Lattice="5.4198 0.0000 0.0000 0.0000 5.4198 0.0000 0.0000 0.0000 4.4946" Properties=species:S:1:pos:R:3 pbc="T T T"
Tl 2.7099 2.7099 2.2473
S 0.0000 0.0000 2.2473
Br 2.7099 0.0000 0.0000
Br 0.0000 2.7099 0.0000
Cr 0.0000 0.0000 0.0000
```

---

11.
Density functional theory data (PBE) for YCrS2Br after structural relaxation.

**V**: 28.5 A^3/atom
**VASP energy**: -4.465 eV per atom
**Energy relative to the elements, uncorrected**: 0.74 eV per atom
**Fermi-level density of states**: 3.101 states/eV/cell
**Magnetization**: 5.22 μB per formula unit

```
5
Lattice="5.2793 0.0000 0.0000 0.0000 5.1070 0.0000 0.0000 0.0000 5.2793" Properties=species:S:1:pos:R:3 pbc="T T T"
Cr 2.6396 2.5535 2.6396
S 0.0000 0.0000 2.6396
S 2.6396 0.0000 0.0000
Y 0.0000 2.5535 0.0000
Br 0.0000 0.0000 0.0000
```

---

12.
Density functional theory data (PBE) for CrSb2Br after structural relaxation.

**V**: 24.2 A^3/atom
**VASP energy**: -4.699 eV per atom
**Energy above the lowest structure with this stoichiometry**: 0.2460 eV/atom
**Energy relative to the elements, uncorrected**: 0.19 eV per atom
**Fermi-level density of states**: 3.582 states/eV/cell
**Magnetization**: 1.94 μB per formula unit

```
4
Lattice="-5.9041 4.8311 -3.5388 -5.4162 2.1539 -6.0619 -7.6382 1.5737 -3.1468" Properties=species:S:1:pos:R:3 pbc="T T T"
Br -4.7397 2.1397 -3.1869
Sb -9.1433 4.1277 -6.1479
Sb -0.3360 0.1517 -0.2259
Cr -14.2190 6.4190 -9.5607
```

---

Number 1 is which compound? CrSBr3